BeCoBr | GGA-PBE | relaxed

The formation energy (no corrections) is 250 meV per atom. The calculated density comes out at 4.0 Mg/m³. The value obtained for the raw total energy is -47.02 eV per cell.

The structure belongs to space group Pnma (No. 62); the cell edges are 9.187, 3.684 and 7.199 Å and the angles 90.00°, 90.00° and 90.00°. The inequivalent atoms are Be at (0.052, 0.250, 0.006), Co at (0.179, 0.750, 0.999) and Br at (0.227, 0.750, 0.685).

=====

BeCr2CoBr | GGA-PBE | relaxed

The formation energy (no corrections) is 843 meV per atom. The calculated density comes out at 4.9 Mg/m³. The value obtained for the raw total energy is -27.54 eV per cell.

The structure belongs to space group P4/mmm (No. 123); the cell edges are 4.527, 4.527 and 4.128 Å and the angles 90.00°, 90.00° and 90.00°. The inequivalent atoms are Be at (0.000, 0.000, 0.000), Cr at (0.000, 0.500, 0.500), Co at (0.000, 0.000, 0.500) and Br at (0.500, 0.500, 0.000).

=====

Cs2BeCoBr6 | GGA-PBE | relaxed

The formation energy (no corrections) is -933 meV per atom. The calculated density comes out at 4.3 Mg/m³. The value obtained for the raw total energy is -63.81 eV per cell.

The structure belongs to space group I4/mmm (No. 139); the cell edges are 7.420, 7.420 and 11.404 Å and the angles 90.00°, 90.00° and 90.00°. The inequivalent atoms are Cs at (0.000, 0.500, 0.250), Be at (0.000, 0.000, 0.000), Co at (0.000, 0.000, 0.500), Br at (0.000, 0.000, 0.292) and Br at (0.224, 0.224, 0.000).

=====

Be2CoCuBr | GGA-PBE | relaxed

The formation energy (no corrections) is 1154 meV per atom. The calculated density comes out at 3.9 Mg/m³. The value obtained for the raw total energy is -14.56 eV per cell.

The structure belongs to space group P4/mmm (No. 123); the cell edges are 4.014, 4.014 and 5.829 Å and the angles 90.00°, 90.00° and 90.00°. The inequivalent atoms are Be at (0.000, 0.500, 0.000), Co at (0.000, 0.000, 0.500), Cu at (0.500, 0.500, 0.000) and Br at (0.500, 0.500, 0.500).

=====

Be2CoHgBr | GGA-PBE | relaxed

The formation energy (no corrections) is 1225 meV per atom. The calculated density comes out at 4.8 Mg/m³. The value obtained for the raw total energy is -10.41 eV per cell.

The structure belongs to space group P4/mmm (No. 123); the cell edges are 4.396, 4.396 and 6.421 Å and the angles 90.00°, 90.00° and 90.00°. The inequivalent atoms are Be at (0.000, 0.500, 0.000), Co at (0.000, 0.000, 0.500), Hg at (0.500, 0.500, 0.000) and Br at (0.500, 0.500, 0.500).

=====

LiBeCoBr2 | GGA-PBE | relaxed

The formation energy (no corrections) is 808 meV per atom. The calculated density comes out at 3.6 Mg/m³. The value obtained for the raw total energy is -12.05 eV per cell.

The structure belongs to space group P4/mmm (No. 123); the cell edges are 4.819, 4.819 and 4.679 Å and the angles 90.00°, 90.00° and 90.00°. The inequivalent atoms are Li at (0.000, 0.000, 0.000), Be at (0.500, 0.500, 0.500), Co at (0.000, 0.000, 0.500) and Br at (0.000, 0.500, 0.000).

=====

> Which of these has the highest formation energy (no corrections)?

Be2CoHgBr

=====

> Which of these has the highest raw total energy?

Be2CoHgBr

=====

> Look up the calculated density of the third one.

4.3 Mg/m³

=====

> Which formula does entry 2 have?

BeCr2CoBr